No. 1
A plane-wave DFT calculation with meta-GGA SCAN was carried out for a PBEsol-optimized structure of KLa2Ru.

Unit cell a=4.128 b=4.126 c=10.640 alpha=101.26 beta=90.00 gamma=120.01
Element x y z (fractional)
Ru (0.000, 0.000, 0.500)
K (0.500, 0.000, 0.000)
La (0.714, 0.428, 0.642)
La (0.286, 0.572, 0.358)

Properties
DFT total energy ... -32.51 eV/atom
Symmetry ... No. 12
DOS(E_F) ... 0.5477 states/eV per atom
DFT formation energy ... -0.66 eV/f.u.
Excess energy over the best structure of this formula in the dataset ... 0.0 kJ/mol of atoms

***

No. 2
A plane-wave DFT calculation with meta-GGA SCAN was carried out for a PBEsol-optimized structure of KLaS2.

Unit cell a=5.033 b=5.033 c=5.033 alpha=60.00 beta=60.00 gamma=60.00
Element x y z (fractional)
K (0.000, 0.000, 0.000)
S (0.250, 0.250, 0.250)
S (0.750, 0.750, 0.750)
La (0.500, 0.500, 0.500)

Properties
DFT total energy ... -19.58 eV/atom
Energy relative to the elements, uncorrected ... -1910 meV/atom
Symmetry ... No. 225
DOS(E_F) ... 0.0000 states/eV per atom

***

No. 3
A plane-wave DFT calculation with meta-GGA SCAN was carried out for a PBEsol-optimized structure of KLa2Sb.

Unit cell a=4.763 b=5.126 c=5.126 alpha=90.00 beta=90.00 gamma=90.00
Element x y z (fractional)
K (0.500, 0.000, 0.000)
La (0.000, 0.000, 0.500)
La (0.000, 0.500, 0.000)
Sb (0.500, 0.500, 0.500)

Properties
DFT total energy ... -33.33 eV/atom
Energy relative to the elements, uncorrected ... -377 meV/atom
Symmetry ... No. 123
DOS(E_F) ... 0.8150 states/eV per atom

***

No. 4
A plane-wave DFT calculation with meta-GGA SCAN was carried out for a PBEsol-optimized structure of KLaSb.

Unit cell a=5.416 b=5.416 c=5.416 alpha=60.00 beta=60.00 gamma=60.00
Element x y z (fractional)
K (0.000, 0.000, 0.000)
La (0.500, 0.500, 0.500)
Sb (0.250, 0.250, 0.250)

Properties
DFT total energy ... -30.16 eV/atom
Energy relative to the elements, uncorrected ... -592 meV/atom
Symmetry ... No. 216
DOS(E_F) ... 0.5172 states/eV per atom

***

No. 5
A plane-wave DFT calculation with meta-GGA SCAN was carried out for a PBEsol-optimized structure of KLaSc2.

Unit cell a=4.907 b=4.907 c=6.252 alpha=113.11 beta=113.11 gamma=90.00
Each line ends with the local moment (μB).
Element x y z (fractional)
K (0.500, 0.500, 0.000)  0.03
La (0.000, 0.000, 0.000)  0.38
Sc (0.750, 0.250, 0.500)  0.49
Sc (0.250, 0.750, 0.500)  0.49

Properties
DFT total energy ... -19.35 eV/atom
Symmetry ... No. 139
DOS(E_F) ... 1.1324 states/eV per atom
DFT formation energy ... 2.51 eV/f.u.
Excess energy over the best structure of this formula in the dataset ... 33.6 kJ/mol of atoms

***

No. 6
A plane-wave DFT calculation with meta-GGA SCAN was carried out for a PBEsol-optimized structure of KLaSc.

Unit cell a=3.519 b=3.519 c=9.228 alpha=100.99 beta=100.99 gamma=90.00
Each line ends with the local moment (μB).
Element x y z (fractional)
K (0.994, 0.994, 0.989)  0.00
La (0.690, 0.690, 0.380)  0.06
Sc (0.316, 0.316, 0.631)  0.34

Properties
DFT total energy ... -21.54 eV/atom
Symmetry ... No. 107
DOS(E_F) ... 0.9255 states/eV per atom
DFT formation energy ... 1.05 eV/f.u.

***

No. 7
A plane-wave DFT calculation with meta-GGA SCAN was carried out for a PBEsol-optimized structure of KLaSc2.

Unit cell a=3.448 b=3.448 c=12.517 alpha=82.08 beta=82.08 gamma=60.00
Each line ends with the local moment (μB).
Element x y z (fractional)
K (0.504, 0.504, 0.489)  0.01
La (0.736, 0.736, 0.792)  -0.03
Sc (0.997, 0.997, 0.010)  0.11
Sc (0.264, 0.264, 0.208)  0.52

Properties
DFT total energy ... -19.70 eV/atom
Symmetry ... No. 160
DOS(E_F) ... 1.1698 states/eV per atom
DFT formation energy ... 1.12 eV/f.u.
Excess energy over the best structure of this formula in the dataset ... 0.0 kJ/mol of atoms

***

No. 8
A plane-wave DFT calculation with meta-GGA SCAN was carried out for a PBEsol-optimized structure of KLa2Se.

Unit cell a=4.743 b=4.743 c=6.218 alpha=112.42 beta=112.42 gamma=90.00
Element x y z (fractional)
K (0.000, 0.000, 0.000)
La (0.750, 0.250, 0.500)
La (0.250, 0.750, 0.500)
Se (0.500, 0.500, 0.000)

Properties
DFT total energy ... -29.04 eV/atom
Energy relative to the elements, uncorrected ... -381 meV/atom
Symmetry ... No. 139
DOS(E_F) ... 0.8637 states/eV per atom

***

No. 9
A plane-wave DFT calculation with meta-GGA SCAN was carried out for a PBEsol-optimized structure of KLa2Se.

Unit cell a=4.891 b=4.891 c=4.689 alpha=90.00 beta=90.00 gamma=90.00
Element x y z (fractional)
K (0.000, 0.000, 0.500)
La (0.000, 0.500, 0.000)
La (0.500, 0.000, 0.000)
Se (0.500, 0.500, 0.500)

Properties
DFT total energy ... -29.04 eV/atom
Energy relative to the elements, uncorrected ... -389 meV/atom
Symmetry ... No. 123
DOS(E_F) ... 0.7276 states/eV per atom

***

No. 10
A plane-wave DFT calculation with meta-GGA SCAN was carried out for a PBEsol-optimized structure of KLa2Se.

Unit cell a=3.761 b=5.998 c=7.231 alpha=114.50 beta=105.07 gamma=90.00
Element x y z (fractional)
K (0.000, 0.500, 0.000)
La (0.817, 0.817, 0.634)
La (0.183, 0.183, 0.366)
Se (0.500, 0.000, 0.000)

Properties
DFT total energy ... -29.35 eV/atom
Energy relative to the elements, uncorrected ... -698 meV/atom
Symmetry ... No. 71
DOS(E_F) ... 0.9328 states/eV per atom

***

No. 11
A plane-wave DFT calculation with meta-GGA SCAN was carried out for a PBEsol-optimized structure of KLa2Se.

Unit cell a=3.648 b=3.648 c=10.914 alpha=90.00 beta=90.00 gamma=90.01
Each line ends with the local moment (μB).
Element x y z (fractional)
K (0.500, 0.500, 0.000)  0.00
La (0.000, 0.000, 0.340)  -0.34
La (0.000, 0.000, 0.660)  -0.34
Se (0.500, 0.500, 0.500)  0.03

Properties
DFT total energy ... -29.36 eV/atom
Energy relative to the elements, uncorrected ... -703 meV/atom
Symmetry ... No. 123
DOS(E_F) ... 1.1370 states/eV per atom

***

No. 12
A plane-wave DFT calculation with meta-GGA SCAN was carried out for a PBEsol-optimized structure of KLaSe2.

Unit cell a=3.934 b=4.129 c=8.241 alpha=104.51 beta=103.81 gamma=90.00
Element x y z (fractional)
K (0.541, 0.541, 0.083)
La (0.300, 0.800, 0.599)
Se (0.936, 0.936, 0.872)
Se (0.723, 0.223, 0.446)

Properties
DFT total energy ... -24.79 eV/atom
Energy relative to the elements, uncorrected ... -1890 meV/atom
Symmetry ... No. 44

***

Q: Look up the DFT total energy of the seventh one.
A: -19.70 eV/atom

***

Q: Number 3 is which compound?
A: KLa2Sb